# CaCeYHo (PBE, optimized geometry)
# density = 5.3 Mg/m³
# M_tot = 1.97 μB per formula unit
# raw total energy = -72.119 eV for the cell shown
# E_form = 236.9 meV per atom
data_CaCeYHo
_cell_length_a 8.148
_cell_length_b 8.148
_cell_length_c 8.148
_cell_angle_alpha 90.00
_cell_angle_beta 90.00
_cell_angle_gamma 90.00
_space_group_name_H-M_alt 'F -4 3 m'
_space_group_IT_number 216
_space_group_name_Hall 'F -4 2 3'
loop_
_atom_site_label
_atom_site_fract_x
_atom_site_fract_y
_atom_site_fract_z
_atom_site_occupancy
Ca1 0.000 0.000 0.000 1
Ce1 0.000 0.000 0.500 1
Y1 0.250 0.250 0.750 1
Ho1 0.250 0.250 0.250 1